(1)
This record from Alexandria describes a relaxed structure of La2TlCr. The functional is GGA-PBE.

abc: 3.8419 5.2536 5.7111
angles: 90.00 90.00 90.00
Space group Pmm2 (No. 25)
Asymmetric unit:
La 0.0000 0.0000 0.0000 [1 per cell]
La 0.0000 0.5000 0.4085 [1 per cell]
Tl 0.5000 0.5000 0.8773 [1 per cell]
Cr 0.5000 0.0000 0.5385 [1 per cell]

Computed properties:
Total moment: 3.85 μB per formula unit
Energy of formation: 0.044 eV per atom
VASP energy: -21.67 eV per cell

***

(2)
This record from Alexandria describes a relaxed structure of Ti5CdIn4. The functional is GGA-PBE.

abc: 2.9922 2.9922 21.3239
angles: 90.00 90.00 90.00
Space group P4/mmm (No. 123)
Asymmetric unit:
Ti 0.0000 0.0000 0.0000 [1 per cell]
Ti 0.0000 0.0000 0.2008 [2 per cell]
Ti 0.0000 0.0000 0.4006 [2 per cell]
Cd 0.5000 0.5000 0.5000 [1 per cell]
In 0.5000 0.5000 0.1004 [2 per cell]
In 0.5000 0.5000 0.3009 [2 per cell]

Computed properties:
Total moment: 0.33 μB per formula unit
Energy of formation: -0.109 eV per atom
VASP energy: -52.43 eV per cell

***

(3)
This record from Alexandria describes a relaxed structure of Ac2ThPaN4. The functional is GGA-PBE.

abc: 6.3999 3.6917 6.5627
angles: 90.00 108.86 90.00
Space group P2/m (No. 10)
Asymmetric unit:
Ac 0.0000 0.0000 0.0000 [1 per cell]
Ac 0.5000 0.5000 0.0000 [1 per cell]
Th 0.0000 0.5000 0.5000 [1 per cell]
Pa 0.5000 0.0000 0.5000 [1 per cell]
N 0.2513 0.0000 0.6973 [2 per cell]
N 0.2843 0.5000 0.3075 [2 per cell]

Computed properties:
Total moment: 0.00 μB per formula unit
Formation energy from raw total energies: -11.3 eV per formula unit
VASP energy: -69.72 eV per cell

***

(4)
This record from Alexandria describes a relaxed structure of KMoH2. The functional is GGA-PBE.

abc: 6.3926 6.3926 6.3926
angles: 90.00 90.00 90.00
Space group Fm-3m (No. 225)
Asymmetric unit:
K 0.0000 0.0000 0.0000 [4 per cell]
Mo 0.0000 0.0000 0.5000 [4 per cell]
H 0.2500 0.2500 0.2500 [8 per cell]

Computed properties:
Total moment: 4.95 μB per formula unit
VASP energy: -53.32 eV per cell

***

(5)
This record from Alexandria describes a relaxed structure of Ca3MgMo. The functional is GGA-PBE.

abc: 5.8817 5.8817 5.8817
angles: 90.00 90.00 90.00
Space group Pm-3m (No. 221)
Asymmetric unit:
Ca 0.0000 0.0000 0.5000 [3 per cell]
Mg 0.0000 0.0000 0.0000 [1 per cell]
Mo 0.5000 0.5000 0.5000 [1 per cell]

Computed properties:
Total moment: 4.15 μB per formula unit
Energy of formation: 1.171 eV per atom
VASP energy: -12.58 eV per cell

***

(6)
This record from Alexandria describes a relaxed structure of FeCoRh2. The functional is GGA-PBE.

abc: 5.2654 5.2654 10.1654
angles: 90.00 90.00 90.00
Space group I-42d (No. 122)
Asymmetric unit:
Fe 0.0000 0.0000 0.0000 [4 per cell]
Co 0.0000 0.0000 0.5000 [4 per cell]
Rh 0.2458 0.2500 0.1250 [8 per cell]

Computed properties:
Total moment: 0.00 μB per formula unit
Energy of formation: 1.103 eV per atom
VASP energy: -103.43 eV per cell

***

(7)
This record from Alexandria describes a relaxed structure of GaIrRu. The functional is GGA-PBE.

abc: 2.7924 2.7924 6.3980
angles: 90.00 90.00 120.00
Space group P3m1 (No. 156)
Asymmetric unit:
Ga 0.0000 0.0000 0.0000 [1 per cell]
Ir 0.3333 0.6667 0.6645 [1 per cell]
Ru 0.6667 0.3333 0.3284 [1 per cell]

Computed properties:
Total moment: 0.00 μB per formula unit
Energy of formation: -0.111 eV per atom
VASP energy: -21.50 eV per cell

***

(8)
This record from Alexandria describes a relaxed structure of BaAs2Pt. The functional is GGA-PBE.

abc: 4.1996 4.1996 18.9324
angles: 90.00 90.00 120.00
Space group R-3m (No. 166, hexagonal axes)
Asymmetric unit:
Ba 0.0000 0.0000 0.0000 [3 per cell]
As 0.0000 0.0000 0.2190 [6 per cell]
Pt 0.0000 0.0000 0.5000 [3 per cell]

Computed properties:
Total moment: 0.00 μB per formula unit
Energy of formation: -0.749 eV per atom
VASP energy: -60.77 eV per cell

***

(9)
This record from Alexandria describes a relaxed structure of Cd3H5Pd12. The functional is GGA-PBE.

abc: 13.0388 13.0388 13.0388
angles: 90.00 90.00 90.00
Space group Ia-3d (No. 230)
Asymmetric unit:
Cd 0.0000 0.2500 0.1250 [24 per cell]
H 0.0000 0.0000 0.0000 [16 per cell]
H 0.0000 0.2500 0.3750 [24 per cell]
Pd 0.0459 0.1430 0.9525 [96 per cell]

Computed properties:
Total moment: 0.00 μB per formula unit
VASP energy: -666.07 eV per cell

***

(10)
This record from Alexandria describes a relaxed structure of CaHgRh. The functional is GGA-PBE.

abc: 10.2826 4.5649 5.7166
angles: 90.00 96.37 90.00
Space group Cm (No. 8)
Asymmetric unit:
Ca 0.0000 0.0000 0.0000 [2 per cell]
Ca 0.0902 0.5000 0.4862 [2 per cell]
Hg 0.2033 0.5000 0.0089 [2 per cell]
Hg 0.3186 0.0000 0.7338 [2 per cell]
Rh 0.3144 0.0000 0.2395 [2 per cell]
Rh 0.3746 0.5000 0.4545 [2 per cell]

Computed properties:
Total moment: 0.00 μB per formula unit
Energy of formation: -0.358 eV per atom
VASP energy: -42.92 eV per cell

***

What is the VASP energy in the fourth record? -53.32 eV per cell

***

Number 6 is which compound? FeCoRh2